ScH3Br3N: PBEsol geometry, meta-GGA SCAN.

The structure in POSCAR format:
```
ScH3Br3N
1.0
7.3287 0.0000 0.0000
1.5317 9.3729 0.0000
2.1009 2.4001 8.9934
Sc H Br N
4 12 12 4
Cartesian
1.8008 2.9043 3.9799
3.5150 3.0012 0.4733
7.4463 8.7718 8.5200
9.1605 8.8688 5.0135
2.7085 7.1827 0.0943
3.4419 5.0812 4.5803
3.5298 4.0571 5.8849
3.6347 7.5161 1.4222
3.6527 8.5368 0.1141
4.4200 3.7501 4.5300
6.5412 8.0230 4.4633
7.3085 3.2362 8.8792
7.3266 4.2569 7.5711
7.4315 7.7159 3.1085
7.5193 6.6918 4.4131
8.2528 4.5903 8.8990
1.7051 4.4229 1.8323
3.5976 10.6139 6.0088
3.5829 7.4198 3.8843
3.9068 3.9064 8.3318
3.7056 1.5206 2.6444
5.5857 7.1127 7.4685
5.3755 4.6603 1.5249
7.2557 10.2524 6.3489
7.0544 7.8666 0.6616
7.3784 4.3532 5.1091
7.3637 1.1591 2.9845
9.2562 7.3501 7.1611
3.4981 4.0805 4.8494
3.6310 7.5363 0.3850
7.3303 4.2368 8.6084
7.4631 7.6925 4.1440
```

## Properties
* raw total energy: -12.7502 eV/atom